# 1
AlC, relaxed, DFT PBE; M_tot = 0.12 μB/atom; energy above the most stable polymorph in this dataset = 0.467 eV per atom; calculated formation energy = 692 meV/atom
1.0
-6.723 -2.155 -3.361
3.610 -6.093 -3.315
-0.798 -2.059 2.916
Al C
8 8
Direct
0.348 0.173 0.000
0.652 0.827 0.000
0.827 0.348 0.000
0.173 0.652 0.000
0.848 0.673 0.500
0.152 0.327 0.500
0.327 0.848 0.500
0.673 0.152 0.500
0.407 0.775 0.000
0.593 0.225 0.000
0.225 0.407 0.000
0.775 0.593 0.000
0.907 0.275 0.500
0.093 0.725 0.500
0.725 0.907 0.500
0.275 0.093 0.500

---

# 2
AlC, relaxed, DFT PBE; M_tot = 0.00 μB/atom; energy above the most stable polymorph in this dataset = 0.223 eV per atom; calculated formation energy = 448 meV/atom
1.0
3.356 0.001 -0.001
1.673 2.958 -0.001
0.017 1.440 4.456
C Al
2 2
Direct
0.791 0.977 0.182
0.009 0.546 0.543
0.465 0.628 0.224
0.745 0.077 0.735

---

# 3
Al4C, relaxed, DFT PBE; M_tot = 0.00 μB/atom; calculated formation energy = 1167 meV/atom
1.0
-1.700 -7.165 1.351
1.563 -5.703 4.591
-1.709 7.134 -1.496
Al C
4 1
Direct
0.750 0.250 0.500
0.250 0.750 0.500
0.587 0.587 0.000
0.413 0.413 0.000
0.000 0.000 0.000

---

# 4
Al5C, relaxed, DFT PBE; M_tot = 0.00 μB/atom; energy above the most stable polymorph in this dataset = 0.231 eV per atom; calculated formation energy = 432 meV/atom
1.0
-2.795 6.008 -3.095
0.117 -6.937 2.313
-1.662 1.338 4.097
Al C
5 1
Direct
0.831 0.169 0.000
0.169 0.831 0.000
0.500 0.500 0.000
0.400 0.600 0.500
0.600 0.400 0.500
0.000 0.000 0.500

---

# 5
AlC, relaxed, DFT PBE; M_tot = 0.00 μB/atom; energy above the most stable polymorph in this dataset = 0.000 eV per atom; calculated formation energy = 225 meV/atom
1.0
-3.382 -0.037 2.459
0.376 -3.450 0.465
4.914 0.993 3.396
C Al
4 4
Direct
0.184 0.000 0.613
0.816 0.000 0.387
0.184 0.500 0.113
0.816 0.500 0.887
0.270 0.000 0.293
0.730 0.000 0.707
0.270 0.500 0.793
0.730 0.500 0.207

---

# 6
Al3C4, relaxed, DFT PBE; M_tot = 0.00 μB/atom; energy above the most stable polymorph in this dataset = 0.000 eV per atom; calculated formation energy = 620 meV/atom
1.0
2.751 -4.765 0.000
2.751 4.765 0.000
0.000 0.000 2.706
Al C
3 4
Direct
0.000 0.500 0.000
0.500 0.500 0.000
0.500 0.000 0.000
0.000 0.000 0.256
0.000 0.000 0.744
0.667 0.333 0.500
0.333 0.667 0.500

---

# 7
AlC, relaxed, DFT PBE; M_tot = 0.00 μB/atom; energy above the most stable polymorph in this dataset = 0.525 eV per atom; calculated formation energy = 750 meV/atom
1.0
-0.257 -0.893 -5.252
1.401 -1.461 4.935
-2.809 -1.417 0.378
C Al
2 2
Direct
0.860 0.140 0.750
0.140 0.860 0.250
0.647 0.353 0.750
0.353 0.647 0.250

---

# 8
AlC, relaxed, DFT PBE; M_tot = 0.00 μB/atom; energy above the most stable polymorph in this dataset = 0.242 eV per atom; calculated formation energy = 467 meV/atom
1.0
1.604 4.402 0.011
-1.604 4.402 0.011
0.000 2.966 5.408
Al C
3 3
Direct
0.617 0.617 0.947
0.264 0.264 0.263
0.452 0.452 0.485
0.992 0.992 0.847
0.033 0.033 0.586
0.807 0.807 0.039

---

# 9
AlC3, relaxed, DFT PBE; M_tot = 0.00 μB/atom; energy above the most stable polymorph in this dataset = 1.296 eV per atom; calculated formation energy = 2077 meV/atom
1.0
-3.368 -0.856 -0.751
2.528 0.222 -2.490
0.882 -3.950 0.544
C Al
3 1
Direct
0.500 0.500 0.668
0.000 0.000 0.500
0.500 0.500 0.332
0.000 0.000 0.000

---

# 10
AlC8, relaxed, DFT PBE; M_tot = 0.10 μB/atom; calculated formation energy = 2124 meV/atom
1.0
-6.104 6.104 1.255
6.104 -6.104 1.255
6.104 6.104 -1.255
Al C
1 8
Direct
0.000 0.000 0.000
0.250 0.750 0.000
0.750 0.250 0.000
0.000 0.427 0.427
0.750 0.750 0.500
0.427 0.000 0.427
0.250 0.250 0.500
0.000 0.573 0.573
0.573 0.000 0.573

---

# 11
AlC, relaxed, DFT PBE; M_tot = 0.00 μB/atom; energy above the most stable polymorph in this dataset = 0.250 eV per atom; calculated formation energy = 475 meV/atom
1.0
-1.338 3.427 -0.270
-2.705 -2.216 1.158
3.021 -0.472 3.900
C Al
2 2
Direct
0.838 0.338 0.500
0.162 0.662 0.500
0.187 0.109 0.296
0.813 0.891 0.704

---

# 12
AlC3, relaxed, DFT PBE; M_tot = 0.00 μB/atom; energy above the most stable polymorph in this dataset = 1.334 eV per atom; calculated formation energy = 2115 meV/atom
1.0
-1.123 2.371 -0.378
-1.512 -2.172 0.159
-0.374 0.633 5.079
C Al
3 1
Direct
0.000 0.000 0.500
0.667 0.333 0.313
0.667 0.333 0.687
0.000 0.000 0.000

---

# 13
AlC, relaxed, DFT PBE; M_tot = 0.36 μB/atom; energy above the most stable polymorph in this dataset = 0.484 eV per atom; calculated formation energy = 709 meV/atom
1.0
-5.447 0.281 -1.569
0.542 -4.927 -2.765
-1.499 -2.804 4.702
Al C
6 6
Direct
0.250 0.000 0.500
0.750 0.000 0.500
0.000 0.500 0.250
0.000 0.500 0.750
0.500 0.250 0.000
0.500 0.750 0.000
0.250 0.500 0.000
0.750 0.500 0.000
0.500 0.000 0.250
0.500 0.000 0.750
0.000 0.250 0.500
0.000 0.750 0.500

---

# 14
AlC, relaxed, DFT PBE; M_tot = 0.00 μB/atom; energy above the most stable polymorph in this dataset = 0.527 eV per atom; calculated formation energy = 752 meV/atom
1.0
-4.361 -0.639 4.517
-2.130 -5.241 -2.797
4.035 -3.457 3.406
Al C
8 8
Direct
0.343 0.343 0.343
0.343 0.657 0.657
0.657 0.343 0.657
0.657 0.657 0.343
0.843 0.843 0.843
0.843 0.157 0.157
0.157 0.843 0.157
0.157 0.157 0.843
0.167 0.167 0.167
0.167 0.833 0.833
0.833 0.167 0.833
0.833 0.833 0.167
0.667 0.667 0.667
0.667 0.333 0.333
0.333 0.667 0.333
0.333 0.333 0.667

---

# 15
AlC3, relaxed, DFT PBE; M_tot = 0.00 μB/atom; energy above the most stable polymorph in this dataset = 1.921 eV per atom; calculated formation energy = 2701 meV/atom
1.0
-0.702 -3.061 -2.571
3.695 0.500 -1.604
1.527 -2.618 2.700
Al C
2 6
Direct
0.000 0.000 0.000
0.500 0.500 0.500
0.750 0.500 0.000
0.250 0.500 0.000
0.000 0.750 0.500
0.000 0.250 0.500
0.500 0.000 0.250
0.500 0.000 0.750

---

# 16
Al5C, relaxed, DFT PBE; M_tot = 0.00 μB/atom; energy above the most stable polymorph in this dataset = 0.864 eV per atom; calculated formation energy = 1066 meV/atom
1.0
-2.121 -4.686 -0.523
-1.925 -2.442 4.130
-5.111 -0.595 0.502
Al C
5 1
Direct
0.250 0.250 0.250
0.625 0.625 0.625
0.625 0.625 0.125
0.125 0.625 0.625
0.625 0.125 0.625
0.000 0.000 0.000

---

# 17
AlC3, relaxed, DFT PBE; M_tot = 0.00 μB/atom; energy above the most stable polymorph in this dataset = 1.319 eV per atom; calculated formation energy = 2100 meV/atom
1.0
4.082 0.000 0.000
-2.041 3.535 0.000
0.000 0.000 10.717
C Al
12 4
Direct
0.500 0.000 0.000
0.500 0.000 0.500
0.000 0.500 0.000
0.500 0.500 0.000
0.500 0.500 0.500
0.000 0.500 0.500
0.784 0.567 0.250
0.216 0.433 0.750
0.433 0.216 0.250
0.784 0.216 0.250
0.216 0.784 0.750
0.567 0.784 0.750
0.000 0.000 0.000
0.000 0.000 0.500
0.333 0.667 0.250
0.667 0.333 0.750

---

# 18
Al2C3, relaxed, DFT PBE; M_tot = 0.00 μB/atom; energy above the most stable polymorph in this dataset = 0.273 eV per atom; calculated formation energy = 693 meV/atom
1.0
-4.008 5.109 -0.717
-5.084 3.804 1.538
-2.899 5.560 1.834
Al C
2 3
Direct
0.391 0.391 0.391
0.609 0.609 0.609
0.000 0.000 0.000
0.818 0.818 0.818
0.182 0.182 0.182

---

# 19
AlC, relaxed, DFT PBE; M_tot = 0.00 μB/atom; energy above the most stable polymorph in this dataset = 0.848 eV per atom; calculated formation energy = 1073 meV/atom
1.0
2.831 0.000 0.000
0.000 2.831 0.000
0.000 0.000 4.638
C Al
1 1
Direct
0.500 0.500 0.000
0.000 0.000 0.000

---

# 20
AlC, relaxed, DFT PBE; M_tot = 0.00 μB/atom; energy above the most stable polymorph in this dataset = 0.632 eV per atom; calculated formation energy = 857 meV/atom
1.0
-2.157 3.121 -0.626
-0.941 0.097 3.727
2.325 1.716 0.542
C Al
2 2
Direct
0.250 0.250 0.239
0.750 0.750 0.761
0.250 0.750 0.000
0.750 0.250 0.000

---

What are the VASP energy values for these records? In order: -0.4256, -0.4436, -0.2699, -0.3105, -0.4600, -0.4597, -0.4214, -0.4422, -0.4246, -0.4771, -0.4416, -0.4218, -0.4244, -0.4213, -0.3787, -0.2639, -0.4229, -0.4658, -0.3976, -0.4135 Ry per atom.